First-principles (PBE-GGA) data for crystalline KLiNdCl5 at its relaxed geometry, as listed in the Alexandria database.

CIF file:
```
data_KLiNdCl5
_cell_length_a 8.943
_cell_length_b 12.186
_cell_length_c 10.234
_cell_angle_alpha 90.00
_cell_angle_beta 113.60
_cell_angle_gamma 90.00
_symmetry_space_group_name_H-M 'C 1 2/c 1'
_symmetry_Int_Tables_number 15
_symmetry_space_group_name_Hall '-C 2yc'
loop_
_atom_site_label
_atom_site_type_symbol
_atom_site_fract_x
_atom_site_fract_y
_atom_site_fract_z
K1 K 0.000 0.149 0.250
Li1 Li 0.000 0.189 0.750
Nd1 Nd 0.000 0.500 0.000
Cl1 Cl 0.000 0.411 0.250
Cl2 Cl 0.116 0.300 0.621
Cl3 Cl 0.183 0.065 0.924
```

Results
- volume (Å³ per cell) = 1022
- spin magnetization (μB per formula unit) = 0.0
- ΔE_f (raw) (eV/atom) = -2.09